Record 1
Y2Hg2Pb after structural relaxation. Source: the Alexandria database, functional PBE.

Output
ΔH_f (0 K) (meV/atom): -364.6
M_tot (μB/f.u.): 0.0
E above lowest polymorph (eV per atom): 0.060

a b c (Å): 5.5768 5.5768 6.1911
angles (deg): 93.27 93.27 48.21
Fractional positions:
Y: 0.1960 0.1960 0.2144
Y: 0.8040 0.8040 0.7856
Hg: 0.1063 0.1063 0.6796
Hg: 0.8937 0.8937 0.3204
Pb: 0.5000 0.5000 0.0000

---

Record 2
LaScOs2 after structural relaxation. Source: the Alexandria database, functional PBE.

Output
ΔH_f (0 K) (meV/atom): 136.9
M_tot (μB/f.u.): 0.0
E above lowest polymorph (eV per atom): 0.090

a b c (Å): 3.0355 4.2795 6.3111
angles (deg): 90.00 100.48 90.00
Fractional positions:
La: 0.0000 0.0000 0.0000
Sc: 0.5000 0.0000 0.5000
Os: 0.2612 0.5000 0.6882
Os: 0.7388 0.5000 0.3118

---

Record 3
Ba2ScPt2 after structural relaxation. Source: the Alexandria database, functional PBE.

Output
ΔH_f (0 K) (meV/atom): -587.8
M_tot (μB/f.u.): 0.0

a b c (Å): 7.5394 7.5394 5.0048
angles (deg): 90.00 90.00 90.00
Fractional positions:
Ba: 0.1697 0.3303 0.0000
Ba: 0.3303 0.8303 0.0000
Ba: 0.6697 0.1697 0.0000
Ba: 0.8303 0.6697 0.0000
Sc: 0.0000 0.0000 0.5000
Sc: 0.5000 0.5000 0.5000
Pt: 0.1388 0.6388 0.5000
Pt: 0.3612 0.1388 0.5000
Pt: 0.6388 0.8612 0.5000
Pt: 0.8612 0.3612 0.5000